1.
The following is a DFT calculation (PBE) of a relaxed YTmZn6 crystal.

a = 4.648 Å, b = 6.587 Å, c = 4.648 Å
α = 90.00°, β = 90.00°, γ = 90.00°
Positions (direct):
Y: 0.000 0.000 0.000
Tm: 0.500 0.500 0.493
Zn: 0.000 0.254 0.501
Zn: 0.000 0.500 0.999
Zn: 0.000 0.746 0.501
Zn: 0.500 0.000 0.494
Zn: 0.500 0.254 0.993
Zn: 0.500 0.746 0.993



2.
The following is a DFT calculation (PBE) of a relaxed YTmZn crystal.

a = 4.909 Å, b = 4.909 Å, c = 4.909 Å
α = 60.00°, β = 60.00°, γ = 60.00°
Positions (direct):
Y: 0.000 0.000 0.000
Tm: 0.500 0.500 0.500
Zn: 0.750 0.750 0.750

## Properties
Energy relative to the lowest polymorph listed for this composition = 0.77 eV per formula unit



3.
The following is a DFT calculation (PBE) of a relaxed YTmZn crystal.

a = 6.833 Å, b = 4.941 Å, c = 8.963 Å
α = 90.00°, β = 90.00°, γ = 90.00°
Positions (direct):
Y: 0.018 0.250 0.191
Y: 0.482 0.750 0.691
Y: 0.518 0.250 0.309
Y: 0.982 0.750 0.809
Tm: 0.161 0.250 0.574
Tm: 0.339 0.750 0.074
Tm: 0.661 0.250 0.926
Tm: 0.839 0.750 0.426
Zn: 0.234 0.250 0.898
Zn: 0.266 0.750 0.398
Zn: 0.734 0.250 0.602
Zn: 0.766 0.750 0.102

## Properties
Energy relative to the lowest polymorph listed for this composition = 0.00 eV per formula unit



4.
The following is a DFT calculation (PBE) of a relaxed YTmZn6 crystal.

a = 4.648 Å, b = 4.648 Å, c = 6.588 Å
α = 90.00°, β = 90.00°, γ = 90.00°
Positions (direct):
Y: 0.000 0.000 0.000
Tm: 0.500 0.500 0.500
Zn: 0.000 0.000 0.500
Zn: 0.000 0.500 0.254
Zn: 0.000 0.500 0.746
Zn: 0.500 0.000 0.254
Zn: 0.500 0.000 0.746
Zn: 0.500 0.500 0.000



Number 1: E_form -0.29 eV per atom, total energy -20.83 eV per cell, V 17.79 Å³ per atom. Number 2: E_form 0.01 eV per atom, total energy -12.18 eV per cell, V 27.88 Å³ per atom. Number 3: E_form -0.25 eV per atom, total energy -51.77 eV per cell, V 25.21 Å³ per atom. Number 4: E_form -0.29 eV per atom, total energy -20.83 eV per cell, V 17.79 Å³ per atom.